No. 1
A plane-wave DFT calculation with PBE was carried out for SrIn2Ag4 after structural relaxation.

The spin magnetization comes out at 0.00 μB per atom. For the energy above the lowest structure with this stoichiometry, the calculation gives 0.274 eV/atom. For the formation energy, the calculation gives 0.11 eV/atom.

The space group is I4/mmm (No. 139) and the conventional cell measures 8.412, 8.412 and 6.102 Å, with angles of 90.00, 90.00 and 90.00 degrees. Symmetry generates all atoms from Sr at (0.000, 0.000, 0.000), In at (0.000, 0.500, 0.250) and Ag at (0.000, 0.226, 0.500).

=====

No. 2
A plane-wave DFT calculation with PBE was carried out for Sr2In3Ag2 after structural relaxation.

The spin magnetization comes out at 0.00 μB per atom. For the formation energy, the calculation gives -0.32 eV/atom.

The space group is C2/m (No. 12) and the conventional cell measures 11.587, 4.707 and 7.968 Å, with angles of 90.00, 117.00 and 90.00 degrees. Symmetry generates all atoms from Sr at (0.143, 0.000, 0.276), In at (0.000, 0.500, 0.500), In at (0.125, 0.500, 0.941) and Ag at (0.137, 0.000, 0.710).

=====

No. 3
A plane-wave DFT calculation with PBE was carried out for Sr8In3Ag2 after structural relaxation.

The spin magnetization comes out at 0.00 μB per atom. For the formation energy, the calculation gives -0.22 eV/atom.

The space group is Cmmm (No. 65) and the conventional cell measures 9.693, 17.309 and 5.973 Å, with angles of 90.00, 90.00 and 90.00 degrees. Symmetry generates all atoms from Sr at (0.000, 0.106, 0.000), Sr at (0.000, 0.323, 0.000), Sr at (0.225, 0.381, 0.500), In at (0.000, 0.000, 0.500), In at (0.173, 0.500, 0.000) and Ag at (0.000, 0.231, 0.500).

=====

No. 4
A plane-wave DFT calculation with PBE was carried out for SrIn2Ag after structural relaxation.

The spin magnetization comes out at 0.00 μB per atom. For the formation energy, the calculation gives -0.19 eV/atom.

The space group is P4mm (No. 99) and the conventional cell measures 3.843, 3.843 and 7.467 Å, with angles of 90.00, 90.00 and 90.00 degrees. Symmetry generates all atoms from Sr at (0.000, 0.000, 0.000), In at (0.000, 0.000, 0.466), In at (0.500, 0.500, 0.706) and Ag at (0.500, 0.500, 0.282).

=====

No. 5
A plane-wave DFT calculation with PBE was carried out for SrIn2Ag3 after structural relaxation.

The spin magnetization comes out at 0.00 μB per atom. For the formation energy, the calculation gives -0.21 eV/atom.

The space group is P6_3/mmc (No. 194) and the conventional cell measures 4.8641, 4.8641 and 14.0281 Å, with angles of 90.00, 90.00 and 120.00 degrees. Symmetry generates all atoms from Sr at (0.0000, 0.0000, 0.2500), In at (0.3333, 0.6667, 0.0853), Ag at (0.0000, 0.0000, 0.0000) and Ag at (0.3333, 0.6667, 0.6269).

=====

No. 6
A plane-wave DFT calculation with PBE was carried out for Sr4InAg2 after structural relaxation.

The spin magnetization comes out at 0.00 μB per atom. For the formation energy, the calculation gives -0.26 eV/atom.

The space group is R-3m (No. 166, hexagonal axes) and the conventional cell measures 5.6409, 5.6409 and 27.1010 Å, with angles of 90.00, 90.00 and 120.00 degrees. Symmetry generates all atoms from Sr at (0.0000, 0.0000, 0.1236), Sr at (0.0000, 0.0000, 0.3742), In at (0.0000, 0.0000, 0.5000) and Ag at (0.0000, 0.0000, 0.2494).